Compound: BiAs2Br8
Source: the Alexandria database
Functional: PBE-GGA
Structure: relaxed

DFT total energy in eV/atom: -2.7577
E_form (uncorrected) in eV per atom: -0.3429
Total moment in μB/f.u.: 0.88

Unit cell a=14.3593 b=9.1273 c=7.2084 alpha=90.00 beta=96.29 gamma=90.00
With the nearest neighbours (Å) after each atom.
Space group C2/m (No. 12)
Inequivalent atoms, fractional coordinates:
Bi: 0.0000 0.0000 0.0000  6 Br 2.92-3.11
As: 0.2073 0.0000 0.7021  2 Br 2.40-2.50
Br: 0.1119 0.2251 0.8409  1 As 2.72, 1 Bi 2.92
Br: 0.1298 0.5000 0.3473  1 As 2.40
Br: 0.1316 0.0000 0.3734  1 As 2.50



Compound: BiAsBr2
Source: the Alexandria database
Functional: PBE-GGA
Structure: relaxed

DFT total energy in eV/atom: -2.9158
E_form (uncorrected) in eV per atom: 0.0533
Total moment in μB/f.u.: 0.00

Unit cell a=3.5323 b=3.5323 c=30.8764 alpha=90.00 beta=90.00 gamma=120.00
With the nearest neighbours (Å) after each atom.
Space group R-3m (No. 166, hexagonal axes)
Inequivalent atoms, fractional coordinates:
Bi: 0.0000 0.0000 0.0000  6 Br 3.26, 6 Bi 3.53
As: 0.0000 0.0000 0.5000  2 Br 2.61
Br: 0.0000 0.0000 0.4156  1 As 2.61



Compound: BiAsBr
Source: the Alexandria database
Functional: PBE-GGA
Structure: relaxed

DFT total energy in eV/atom: -3.7122
E_form (uncorrected) in eV per atom: -0.3111
Total moment in μB/f.u.: 0.00

Unit cell a=10.4098 b=4.2797 c=9.2619 alpha=90.00 beta=119.46 gamma=90.00
With the nearest neighbours (Å) after each atom.
Space group C2/m (No. 12)
Inequivalent atoms, fractional coordinates:
Bi: 0.2167 0.0000 0.2587  3 As 2.84-3.02, 1 Br 2.92
As: 0.1265 0.0000 0.5229  1 As 2.45
Br: 0.0728 0.5000 0.8642  1 Bi 2.92



Compound: BiAs2CBr
Source: the Alexandria database
Functional: PBE-GGA
Structure: relaxed

DFT total energy in eV/atom: -2.7167
E_form (uncorrected) in eV per atom: 2.0987
Total moment in μB/f.u.: 3.08

Unit cell a=5.5735 b=5.5735 c=5.7148 alpha=90.00 beta=90.00 gamma=90.00
With the nearest neighbours (Å) after each atom.
Space group P4/mmm (No. 123)
Inequivalent atoms, fractional coordinates:
Bi: 0.0000 0.0000 0.0000  4 As 2.79, 2 Br 2.86
As: 0.0000 0.5000 0.0000  2 Bi 2.79
C: 0.5000 0.5000 0.5000  4 Br 3.94, 8 As 3.99
Br: 0.0000 0.0000 0.5000  2 Bi 2.86



Compound: BiAs2CBr
Source: the Alexandria database
Functional: PBE-GGA
Structure: relaxed

DFT total energy in eV/atom: -3.7816
E_form (uncorrected) in eV per atom: 1.0337
Total moment in μB/f.u.: 0.00

Unit cell a=4.5846 b=4.5846 c=4.7210 alpha=90.00 beta=90.00 gamma=90.00
With the nearest neighbours (Å) after each atom.
Space group P4/mmm (No. 123)
Inequivalent atoms, fractional coordinates:
Bi: 0.0000 0.0000 0.0000  4 Br 3.24, 8 As 3.29
As: 0.0000 0.5000 0.5000  2 C 2.29
C: 0.5000 0.5000 0.5000  4 As 2.29, 2 Br 2.36
Br: 0.5000 0.5000 0.0000  2 C 2.36



Compound: CdBiAs2Br
Source: the Alexandria database
Functional: PBE-GGA
Structure: relaxed

DFT total energy in eV/atom: -2.5967
E_form (uncorrected) in eV per atom: 0.5569
Total moment in μB/f.u.: 0.00

Unit cell a=5.2260 b=5.2260 c=5.2859 alpha=90.00 beta=90.00 gamma=90.00
With the nearest neighbours (Å) after each atom.
Space group P4/mmm (No. 123)
Inequivalent atoms, fractional coordinates:
Cd: 0.0000 0.0000 0.0000  4 As 2.61, 2 Br 2.64
Bi: 0.5000 0.5000 0.5000  4 Br 3.70, 8 As 3.72
As: 0.0000 0.5000 0.0000  2 Cd 2.61
Br: 0.0000 0.0000 0.5000  2 Cd 2.64



Compound: CdBiAs2Br
Source: the Alexandria database
Functional: PBE-GGA
Structure: relaxed

DFT total energy in eV/atom: -2.1713
E_form (uncorrected) in eV per atom: 0.9823
Total moment in μB/f.u.: 0.00

Unit cell a=5.1978 b=5.1978 c=5.6494 alpha=90.00 beta=90.00 gamma=90.00
With the nearest neighbours (Å) after each atom.
Space group P4/mmm (No. 123)
Inequivalent atoms, fractional coordinates:
Cd: 0.0000 0.0000 0.0000  4 Bi 3.68, 8 As 3.84
Bi: 0.5000 0.5000 0.0000  2 Br 2.82
As: 0.0000 0.5000 0.5000  2 Br 2.60
Br: 0.5000 0.5000 0.5000  4 As 2.60, 2 Bi 2.82



Compound: Cd4BiAsBr2
Source: the Alexandria database
Functional: PBE-GGA
Structure: relaxed

DFT total energy in eV/atom: -2.1763
E_form (uncorrected) in eV per atom: -0.2342
Total moment in μB/f.u.: 0.00

Unit cell a=11.5377 b=14.1927 c=7.9198 alpha=90.00 beta=133.25 gamma=90.00
With the nearest neighbours (Å) after each atom.
Space group C2/c (No. 15)
Inequivalent atoms, fractional coordinates:
Cd: 0.0002 0.2163 0.0191  2 As 2.83, 2 Br 3.03, 1 Bi 3.07
Cd: 0.2419 0.4435 0.4919  1 As 2.75, 2 Br 2.95, 2 Bi 3.04-3.05
Bi: 0.0000 0.0000 0.0000  6 Cd 3.04-3.07
As: 0.2500 0.2500 0.5000  6 Cd 2.75-2.83
Br: 0.0000 0.5000 0.0000  4 Cd 2.95
Br: 0.2500 0.2500 0.0000  4 Cd 3.03